Compound: Ba3USe6
Source: the Open Quantum Materials Database
Functional: PBE
Structure: relaxed

Summary:
Raw total energy ... -5.4110 eV per atom
Space-group type ... No. 14
Crystal system ... monoclinic

Lattice parameters (Å, degrees): 7.6272 8.2604 13.4339 90.00 124.42 90.00
With the nearest neighbours (Å) after each atom.
Sites, in units of the cell vectors:
Ba (0.0000, 0.0000, 0.0000)  6 Se 3.21-3.26
Ba (0.0000, 0.5000, 0.5000)  6 Se 3.21-3.26
Ba (0.2170, 0.0808, 0.7466)  6 Se 3.29-3.57
Ba (0.2170, 0.4192, 0.2466)  6 Se 3.29-3.57
Ba (0.7830, 0.5808, 0.7534)  6 Se 3.29-3.57
Ba (0.7830, 0.9192, 0.2534)  6 Se 3.29-3.57
U (0.5000, 0.0000, 0.5000)  6 Se 2.69-2.73
U (0.5000, 0.5000, 0.0000)  6 Se 2.69-2.73
Se (0.1578, 0.1735, 0.4445)  1 U 2.69
Se (0.1578, 0.3265, 0.9445)  1 U 2.69
Se (0.2653, 0.7219, 0.4280)  1 U 2.73
Se (0.2653, 0.7781, 0.9280)  1 U 2.73
Se (0.3973, 0.0477, 0.2744)  1 U 2.70
Se (0.3973, 0.4523, 0.7744)  1 U 2.70
Se (0.6027, 0.5477, 0.2256)  1 U 2.70
Se (0.6027, 0.9523, 0.7256)  1 U 2.70
Se (0.7347, 0.2219, 0.0720)  1 U 2.73
Se (0.7347, 0.2781, 0.5720)  1 U 2.73
Se (0.8422, 0.6735, 0.0555)  1 U 2.69
Se (0.8422, 0.8265, 0.5555)  1 U 2.69



Compound: BaU2Se2
Source: the Open Quantum Materials Database
Functional: PBE
Structure: relaxed

Summary:
Raw total energy ... -6.6872 eV per atom
Space-group type ... No. 43
Crystal system ... orthorhombic

Lattice parameters (Å, degrees): 9.4943 6.0909 10.5179 63.29 34.97 81.74
With the nearest neighbours (Å) after each atom.
Sites, in units of the cell vectors:
Ba (0.0000, 0.0000, 0.0000)  6 Se 3.27-3.37, 2 U 3.52
Ba (0.2500, 0.2500, 0.2500)  6 Se 3.27-3.37, 2 U 3.52
U (0.2995, 0.6317, 0.4193)  4 Se 3.01-3.15, 2 U 3.10
U (0.6006, 0.8307, 0.6183)  4 Se 3.01-3.15, 2 U 3.10
U (0.6317, 0.2995, 0.6494)  4 Se 3.01-3.15, 2 U 3.10
U (0.8307, 0.6006, 0.9505)  4 Se 3.01-3.15, 2 U 3.10
Se (0.0175, 0.4095, 0.1111)  4 U 3.01-3.15, 3 Ba 3.27-3.37
Se (0.1389, 0.7881, 0.2325)  4 U 3.01-3.15, 3 Ba 3.27-3.37
Se (0.4095, 0.0175, 0.4619)  4 U 3.01-3.15, 3 Ba 3.27-3.37
Se (0.7881, 0.1389, 0.8405)  4 U 3.01-3.15, 3 Ba 3.27-3.37



Compound: BaZrZnSe3
Source: the Open Quantum Materials Database
Functional: PBE
Structure: relaxed

Summary:
Raw total energy ... -4.8408 eV per atom
Space-group type ... No. 63
Crystal system ... orthorhombic

Lattice parameters (Å, degrees): 7.6401 7.6401 10.3127 90.00 90.00 149.28
With the nearest neighbours (Å) after each atom.
Sites, in units of the cell vectors:
Ba (0.2396, 0.7604, 0.7500)  6 Se 3.28-3.39
Ba (0.7604, 0.2396, 0.2500)  6 Se 3.28-3.39
Zr (0.0000, 0.0000, 0.0000)  6 Se 2.81-2.84
Zr (0.0000, 0.0000, 0.5000)  6 Se 2.81-2.84
Zn (0.4729, 0.5271, 0.2500)  4 Se 2.52-2.53
Zn (0.5271, 0.4729, 0.7500)  4 Se 2.52-2.53
Se (0.0761, 0.9239, 0.2500)  2 Zn 2.53, 2 Zr 2.81
Se (0.3704, 0.6296, 0.0546)  1 Zn 2.52
Se (0.3704, 0.6296, 0.4454)  1 Zn 2.52
Se (0.6296, 0.3704, 0.5546)  1 Zn 2.52
Se (0.6296, 0.3704, 0.9454)  1 Zn 2.52
Se (0.9239, 0.0761, 0.7500)  2 Zn 2.53, 2 Zr 2.81



Compound: BaZrSe3
Source: the Open Quantum Materials Database
Functional: PBE
Structure: relaxed

Summary:
Raw total energy ... -5.7810 eV per atom
Space-group type ... No. 194
Crystal system ... hexagonal

Lattice parameters (Å, degrees): 7.2190 7.2190 6.4033 90.00 90.00 120.00
With the nearest neighbours (Å) after each atom.
Sites, in units of the cell vectors:
Ba (0.3333, 0.6667, 0.2500)  12 Se 3.61-3.77
Ba (0.6667, 0.3333, 0.7500)  12 Se 3.61-3.77
Zr (0.0000, 0.0000, 0.0000)  6 Se 2.70
Zr (0.0000, 0.0000, 0.5000)  6 Se 2.70
Se (0.1743, 0.3486, 0.7500)  2 Zr 2.70
Se (0.1743, 0.8257, 0.7500)  2 Zr 2.70
Se (0.3486, 0.1743, 0.2500)  2 Zr 2.70
Se (0.6514, 0.8257, 0.7500)  2 Zr 2.70
Se (0.8257, 0.1743, 0.2500)  2 Zr 2.70
Se (0.8257, 0.6514, 0.2500)  2 Zr 2.70



Compound: BaZrSe3
Source: the Open Quantum Materials Database
Functional: PBE
Structure: relaxed

Summary:
Raw total energy ... -5.8126 eV per atom
Space-group type ... No. 62
Crystal system ... orthorhombic

Lattice parameters (Å, degrees): 7.5575 10.4853 7.2844 90.00 90.00 90.00
With the nearest neighbours (Å) after each atom.
Sites, in units of the cell vectors:
Ba (0.0701, 0.2500, 0.0191)  8 Se 3.28-3.57
Ba (0.4299, 0.7500, 0.5191)  8 Se 3.28-3.57
Ba (0.5701, 0.2500, 0.4809)  8 Se 3.28-3.57
Ba (0.9299, 0.7500, 0.9809)  8 Se 3.28-3.57
Zr (0.0000, 0.0000, 0.5000)  6 Se 2.68-2.71
Zr (0.0000, 0.5000, 0.5000)  6 Se 2.68-2.71
Zr (0.5000, 0.0000, 0.0000)  6 Se 2.68-2.71
Zr (0.5000, 0.5000, 0.0000)  6 Se 2.68-2.71
Se (0.0041, 0.7500, 0.4243)  2 Zr 2.68
Se (0.2024, 0.5391, 0.7994)  2 Zr 2.70-2.71
Se (0.2024, 0.9609, 0.7994)  2 Zr 2.70-2.71
Se (0.2976, 0.0391, 0.2994)  2 Zr 2.70-2.71
Se (0.2976, 0.4609, 0.2994)  2 Zr 2.70-2.71
Se (0.4959, 0.2500, 0.9243)  2 Zr 2.68
Se (0.5041, 0.7500, 0.0757)  2 Zr 2.68
Se (0.7024, 0.5391, 0.7006)  2 Zr 2.70-2.71
Se (0.7024, 0.9609, 0.7006)  2 Zr 2.70-2.71
Se (0.7976, 0.0391, 0.2006)  2 Zr 2.70-2.71
Se (0.7976, 0.4609, 0.2006)  2 Zr 2.70-2.71
Se (0.9959, 0.2500, 0.5757)  2 Zr 2.68



Compound: BaSmSi3
Source: the Open Quantum Materials Database
Functional: PBE
Structure: relaxed

Summary:
Raw total energy ... -4.6779 eV per atom
Space-group type ... No. 107
Crystal system ... tetragonal

Lattice parameters (Å, degrees): 4.4968 4.4968 12.7308 90.00 90.00 90.00
With the nearest neighbours (Å) after each atom.
Sites, in units of the cell vectors:
Ba (0.0000, 0.0000, 0.0000)  8 Si 3.27-3.35
Ba (0.5000, 0.5000, 0.5000)  8 Si 3.27-3.35
Sm (0.0000, 0.0000, 0.6660)  5 Si 2.93-3.18
Sm (0.5000, 0.5000, 0.1660)  5 Si 2.93-3.18
Si (0.0000, 0.0000, 0.4165)  4 Si 2.60
Si (0.0000, 0.5000, 0.3136)  2 Si 2.60
Si (0.0000, 0.5000, 0.8136)  2 Si 2.60
Si (0.5000, 0.0000, 0.3136)  2 Si 2.60
Si (0.5000, 0.0000, 0.8136)  2 Si 2.60
Si (0.5000, 0.5000, 0.9165)  4 Si 2.60



Compound: BaSmSi
Source: the Open Quantum Materials Database
Functional: PBE
Structure: relaxed

Summary:
Raw total energy ... -4.1764 eV per atom
Space-group type ... No. 216
Crystal system ... cubic

Lattice parameters (Å, degrees): 7.4771 7.4771 7.4771 90.00 90.00 90.00
With the nearest neighbours (Å) after each atom.
Sites, in units of the cell vectors:
Ba (0.0000, 0.0000, 0.0000)  4 Si 3.24
Ba (0.0000, 0.5000, 0.5000)  4 Si 3.24
Ba (0.5000, 0.0000, 0.5000)  4 Si 3.24
Ba (0.5000, 0.5000, 0.0000)  4 Si 3.24
Sm (0.0000, 0.0000, 0.5000)  4 Si 3.24
Sm (0.0000, 0.5000, 0.0000)  4 Si 3.24
Sm (0.5000, 0.0000, 0.0000)  4 Si 3.24
Sm (0.5000, 0.5000, 0.5000)  4 Si 3.24
Si (0.2500, 0.2500, 0.2500)  4 Sm 3.24, 4 Ba 3.24
Si (0.2500, 0.7500, 0.7500)  4 Ba 3.24, 4 Sm 3.24
Si (0.7500, 0.2500, 0.7500)  4 Ba 3.24, 4 Sm 3.24
Si (0.7500, 0.7500, 0.2500)  4 Ba 3.24, 4 Sm 3.24



Compound: Ba2Zn2SiSn
Source: the Open Quantum Materials Database
Functional: PBE
Structure: relaxed

Summary:
Raw total energy ... -3.0639 eV per atom
Space-group type ... No. 187
Crystal system ... hexagonal

Lattice parameters (Å, degrees): 4.5630 4.5630 9.8630 90.00 90.00 120.00
With the nearest neighbours (Å) after each atom.
Sites, in units of the cell vectors:
Ba (0.0000, 0.0000, 0.2391)  6 Zn 3.54-3.68, 3 Si 3.54, 3 Sn 3.68
Ba (0.0000, 0.0000, 0.7609)  6 Zn 3.54-3.68, 3 Si 3.54, 3 Sn 3.68
Zn (0.3333, 0.6667, 0.0000)  3 Si 2.63
Zn (0.6667, 0.3333, 0.5000)  3 Sn 2.63
Si (0.6667, 0.3333, 0.0000)  3 Zn 2.63
Sn (0.3333, 0.6667, 0.5000)  3 Zn 2.63



Compound: Ba2Zn2SiSn
Source: the Open Quantum Materials Database
Functional: PBE
Structure: relaxed

Summary:
Raw total energy ... -3.0643 eV per atom
Space-group type ... No. 156
Crystal system ... trigonal

Lattice parameters (Å, degrees): 4.5694 4.5694 9.8851 90.00 90.00 120.00
With the nearest neighbours (Å) after each atom.
Sites, in units of the cell vectors:
Ba (0.0000, 0.0000, 0.0000)  6 Zn 3.54-3.69, 3 Si 3.54, 3 Sn 3.69
Ba (0.0000, 0.0000, 0.4788)  3 Si 3.55, 6 Zn 3.55-3.68, 3 Sn 3.69
Zn (0.3333, 0.6667, 0.2389)  3 Si 2.64
Zn (0.6667, 0.3333, 0.7387)  3 Sn 2.64
Si (0.6667, 0.3333, 0.2392)  3 Zn 2.64
Sn (0.3333, 0.6667, 0.7395)  3 Zn 2.64



Compound: BaSrZn2Si2
Source: the Open Quantum Materials Database
Functional: PBE
Structure: relaxed

Summary:
Raw total energy ... -3.2381 eV per atom
Space-group type ... No. 164
Crystal system ... trigonal

Lattice parameters (Å, degrees): 4.3439 4.3439 9.3595 90.00 90.00 120.00
With the nearest neighbours (Å) after each atom.
Sites, in units of the cell vectors:
Ba (0.0000, 0.0000, 0.0000)  6 Si 3.51, 6 Zn 3.51
Sr (0.0000, 0.0000, 0.5000)  6 Zn 3.35, 6 Si 3.36
Zn (0.3333, 0.6667, 0.2630)  3 Si 2.51
Zn (0.6667, 0.3333, 0.7370)  3 Si 2.51
Si (0.3333, 0.6667, 0.7383)  3 Zn 2.51
Si (0.6667, 0.3333, 0.2617)  3 Zn 2.51



Compound: BaTbSi3
Source: the Open Quantum Materials Database
Functional: PBE
Structure: relaxed

Summary:
Raw total energy ... -4.6648 eV per atom
Space-group type ... No. 107
Crystal system ... tetragonal

Lattice parameters (Å, degrees): 4.5886 4.5886 12.0150 90.00 90.00 90.00
With the nearest neighbours (Å) after each atom.
Sites, in units of the cell vectors:
Ba (0.0000, 0.0000, 0.0000)  8 Si 3.28-3.44
Ba (0.5000, 0.5000, 0.5000)  8 Si 3.28-3.44
Tb (0.0000, 0.0000, 0.6596)  5 Si 2.88-3.06
Tb (0.5000, 0.5000, 0.1596)  5 Si 2.88-3.06
Si (0.0000, 0.0000, 0.4046)  4 Si 2.59
Si (0.0000, 0.5000, 0.3046)  2 Si 2.59, 2 Tb 2.88
Si (0.0000, 0.5000, 0.8046)  2 Si 2.59, 2 Tb 2.88
Si (0.5000, 0.0000, 0.3046)  2 Si 2.59, 2 Tb 2.88
Si (0.5000, 0.0000, 0.8046)  2 Si 2.59, 2 Tb 2.88
Si (0.5000, 0.5000, 0.9046)  4 Si 2.59



Compound: BaThSi
Source: the Open Quantum Materials Database
Functional: PBE
Structure: relaxed

Summary:
Raw total energy ... -4.8541 eV per atom
Space-group type ... No. 216
Crystal system ... cubic

Lattice parameters (Å, degrees): 7.3638 7.3638 7.3638 90.00 90.00 90.00
With the nearest neighbours (Å) after each atom.
Sites, in units of the cell vectors:
Ba (0.0000, 0.0000, 0.0000)  4 Si 3.19
Ba (0.0000, 0.5000, 0.5000)  4 Si 3.19
Ba (0.5000, 0.0000, 0.5000)  4 Si 3.19
Ba (0.5000, 0.5000, 0.0000)  4 Si 3.19
Th (0.0000, 0.0000, 0.5000)  4 Si 3.19
Th (0.0000, 0.5000, 0.0000)  4 Si 3.19
Th (0.5000, 0.0000, 0.0000)  4 Si 3.19
Th (0.5000, 0.5000, 0.5000)  4 Si 3.19
Si (0.2500, 0.2500, 0.2500)  4 Ba 3.19, 4 Th 3.19
Si (0.2500, 0.7500, 0.7500)  4 Th 3.19, 4 Ba 3.19
Si (0.7500, 0.2500, 0.7500)  4 Th 3.19, 4 Ba 3.19
Si (0.7500, 0.7500, 0.2500)  4 Th 3.19, 4 Ba 3.19



- Which of these has the lowest raw total energy?
  BaU2Se2



- Which formula does entry 12 have?
  BaThSi



- raw total energy of number 7 (BaSmSi)?
  -4.1764 eV per atom



- The lowest raw total energy belongs to which entry?
  BaU2Se2